! SrMnS2, optimized geometry, DFT GGA-PBE; values from VASP
! Calculated total energy ... -0.2236 hartree per atom
! E_form (uncorrected) ... -1308 meV per atom
! Relative energy among the computed polymorphs ... 0 meV/atom
&SYSTEM
  ibrav = 0, nat = 16, ntyp = 3
/
ATOMIC_SPECIES
Sr 87.62 Sr.upf
Mn 54.94 Mn.upf
S 32.06 S.upf
ATOMIC_POSITIONS crystal
Sr 0.731 0.058 0.779
Sr 0.269 0.442 0.279
Sr 0.269 0.942 0.221
Sr 0.731 0.558 0.721
Mn 0.258 0.687 0.747
Mn 0.742 0.313 0.253
Mn 0.742 0.813 0.247
Mn 0.258 0.187 0.753
S 0.066 0.887 0.788
S 0.934 0.613 0.288
S 0.934 0.113 0.212
S 0.066 0.387 0.712
S 0.505 0.265 0.999
S 0.505 0.765 0.501
S 0.495 0.735 0.001
S 0.495 0.235 0.499
CELL_PARAMETERS angstrom
7.019 -0.669 0.000
-1.594 7.839 0.000
0.000 0.000 7.091